ReTcSe2 after structural relaxation, computed with PBE-GGA.

Structure (POSCAR):
```
ReTcSe2
1.0
4.264 -0.003 -0.001
3.176 2.846 -0.001
1.079 0.412 5.150
Tc Re Se
1 1 2
Cartesian
6.389 2.441 3.861 Tc
2.130 0.814 1.287 Re
7.433 2.840 0.002 Se
4.265 1.630 2.570 Se
```

Its space-group type is No. 12. The density of states at the Fermi level comes out at 0.858 states/eV/atom. As for the distance to the lowest polymorph of the same formula: 422.8 meV per atom. The calculation puts the total moment at 0.0 Bohr magnetons per cell. Its uncorrected formation energy is 0.36 eV/atom.